# 1
MgAgMo2 | meta-GGA SCAN | PBEsol geometry

Values from the calculation:
V   64.2 Å³ per cell
Electronic total energy   -26.080 eV/atom
Energy of formation from the pure elements   0.45 eV/atom

Cell lengths 2.652, 2.652, 9.170 Å; angles 90.00, 90.00, 95.36 degrees
Fractional coordinates of all 4 atoms:
Mo: 0.000 0.000 0.252
Ag: 0.500 0.500 0.500
Mo: 0.000 0.000 0.748
Mg: 0.500 0.500 0.000

# 2
ScCu3 | meta-GGA SCAN | PBEsol geometry

Values from the calculation:
V   108.5 Å³ per cell
Electronic total energy   -15.185 eV/atom
Energy of formation from the pure elements   -0.23 eV/atom

Cell lengths 4.770, 4.770, 4.770 Å; angles 90.00, 90.00, 90.00 degrees
Fractional coordinates of all 8 atoms:
Cu: 0.250 0.500 0.000
Sc: 0.000 0.000 0.000
Cu: 0.000 0.750 0.500
Cu: 0.000 0.250 0.500
Cu: 0.500 0.000 0.250
Sc: 0.500 0.500 0.500
Cu: 0.500 0.000 0.750
Cu: 0.750 0.500 0.000